Entry from Alexandria: a relaxed K2CdBi2 crystal (GGA-PBEsol).

Summary:
DFT formation energy: -0.281 eV per atom

Cell: 5.735 7.834 7.834 Å, 90.00 90.00 90.00°
Positions (direct):
Cd1 0.000 0.500 0.500
Cd2 0.000 0.000 0.000
Bi1 0.000 0.858 0.642
Bi2 0.000 0.142 0.358
Bi3 0.000 0.642 0.142
Bi4 0.000 0.358 0.858
K1 0.500 0.336 0.164
K2 0.500 0.836 0.336
K3 0.500 0.164 0.664
K4 0.500 0.664 0.836

=====

Entry from Alexandria: a relaxed K2OsRh2 crystal (GGA-PBEsol).

Summary:
DFT formation energy: 1.598 eV per atom

Cell: 3.505 3.505 7.954 Å, 102.73 102.73 90.00°
Site moments in Bohr magnetons follow the coordinates.
Positions (direct):
K1 0.750 0.250 0.500  0.00
K2 0.250 0.750 0.500  0.00
Os1 0.000 0.000 0.000  0.92
Rh1 0.581 0.581 0.163  0.43
Rh2 0.419 0.419 0.837  0.43

=====

Entry from Alexandria: a relaxed ReNiTe2 crystal (GGA-PBEsol).

Summary:
Distance to the lowest polymorph of the same formula: 493 meV per atom
Uncorrected formation energy: 0.618 eV/atom

Cell: 3.255 4.636 4.636 Å, 90.00 90.00 90.00°
Positions (direct):
Re1 0.500 0.500 0.500
Te1 0.000 0.500 0.000
Te2 0.000 0.000 0.500
Ni1 0.500 0.000 0.000

=====

Entry from Alexandria: a relaxed SrBeNi2 crystal (GGA-PBEsol).

Summary:
Distance to the lowest polymorph of the same formula: 604 meV per atom
DFT formation energy: 0.523 eV per atom

Cell: 4.211 4.542 4.211 Å, 62.38 90.00 117.62°
Positions (direct):
Ni1 0.250 0.500 0.250
Ni2 0.750 0.500 0.750
Sr1 0.500 0.000 0.500
Be1 0.000 0.000 0.000

=====

Entry from Alexandria: a relaxed LaTaMo crystal (GGA-PBEsol).

Summary:
Distance to the lowest polymorph of the same formula: 1270 meV per atom
DFT formation energy: 1.789 eV per atom

Cell: 4.505 4.505 4.505 Å, 60.00 60.00 60.00°
Positions (direct):
Mo1 0.000 0.000 0.000
Ta1 0.500 0.500 0.500
La1 0.750 0.750 0.750

=====

Entry from Alexandria: a relaxed AlPtC2Se crystal (GGA-PBEsol).

Summary:
Uncorrected formation energy: 2.135 eV/atom

Cell: 3.765 3.765 5.251 Å, 90.00 90.00 90.00°
Positions (direct):
Al1 0.000 0.000 0.500
Se1 0.000 0.000 0.000
C1 0.500 0.000 0.000
C2 0.000 0.500 0.000
Pt1 0.500 0.500 0.500

=====

Entry from Alexandria: a relaxed FeN2ClF crystal (GGA-PBEsol).

Summary:
Uncorrected formation energy: 1.747 eV/atom

Cell: 3.497 3.497 4.636 Å, 90.00 90.00 90.00°
Site moments in Bohr magnetons follow the coordinates.
Positions (direct):
N1 0.000 0.500 0.000  0.15
N2 0.500 0.000 0.000  0.15
F1 0.000 0.000 0.500  0.07
Fe1 0.500 0.500 0.500  3.53
Cl1 0.000 0.000 0.000  0.00

=====

Entry from Alexandria: a relaxed Mn2CuIr crystal (GGA-PBEsol).

Summary:
DFT formation energy: 0.128 eV per atom

Cell: 2.821 4.297 4.297 Å, 90.00 90.00 90.00°
Site moments in Bohr magnetons follow the coordinates.
Positions (direct):
Mn1 0.000 0.000 0.500  3.30
Mn2 0.000 0.500 0.000  3.30
Cu1 0.500 0.500 0.500  0.17
Ir1 0.500 0.000 0.000  0.27

=====

Entry from Alexandria: a relaxed HoVO3 crystal (GGA-PBEsol).

Summary:
Uncorrected formation energy: -3.005 eV/atom

Cell: 5.174 5.575 7.498 Å, 90.00 90.00 90.00°
Site moments in Bohr magnetons follow the coordinates.
Positions (direct):
V1 0.000 0.000 0.000  1.77
V2 0.000 0.000 0.500  1.77
V3 0.500 0.500 0.000  1.77
V4 0.500 0.500 0.500  1.77
Ho1 0.479 0.073 0.250  0.05
Ho2 0.521 0.927 0.750  0.05
Ho3 0.979 0.427 0.750  0.05
Ho4 0.021 0.573 0.250  0.05
O1 0.690 0.196 0.557  0.00
O2 0.190 0.304 0.443  0.00
O3 0.386 0.541 0.750  0.00
O4 0.810 0.696 0.943  0.00
O5 0.310 0.804 0.443  0.00
O6 0.310 0.804 0.057  0.00
O7 0.690 0.196 0.943  0.00
O8 0.614 0.459 0.250  0.00
O9 0.810 0.696 0.557  0.00
O10 0.190 0.304 0.057  0.00
O11 0.114 0.041 0.750  0.00
O12 0.886 0.959 0.250  0.00

=====

Entry from Alexandria: a relaxed Y5Mg crystal (GGA-PBEsol).

Summary:
Distance to the lowest polymorph of the same formula: 46 meV per atom
DFT formation energy: 0.032 eV per atom

Cell: 5.524 6.083 6.083 Å, 120.00 90.00 90.00°
Positions (direct):
Y1 0.000 0.322 0.322
Y2 0.000 0.000 0.678
Y3 0.000 0.678 0.000
Y4 0.500 0.333 0.667
Y5 0.500 0.667 0.333
Mg1 0.500 0.000 0.000

=====

Entry from Alexandria: a relaxed SrVO3 crystal (GGA-PBEsol).

Summary:
Uncorrected formation energy: -2.834 eV/atom

Cell: 3.814 3.814 3.814 Å, 90.00 90.00 90.00°
Positions (direct):
O1 0.000 0.000 0.500
O2 0.000 0.500 0.000
O3 0.500 0.000 0.000
Sr1 0.500 0.500 0.500
V1 0.000 0.000 0.000

=====

Entry from Alexandria: a relaxed MgCrW2 crystal (GGA-PBEsol).

Summary:
Distance to the lowest polymorph of the same formula: 0 meV per atom
DFT formation energy: 0.533 eV per atom

Cell: 2.847 2.847 8.984 Å, 80.88 80.88 60.00°
Positions (direct):
Mg1 0.000 0.000 0.000
W1 0.240 0.240 0.279
W2 0.760 0.760 0.721
Cr1 0.500 0.500 0.500

=====

Entry from Alexandria: a relaxed AlTl2Cr crystal (GGA-PBEsol).

Summary:
Distance to the lowest polymorph of the same formula: 0 meV per atom
DFT formation energy: 0.456 eV per atom

Cell: 3.056 4.720 6.494 Å, 111.31 103.61 90.00°
Site moments in Bohr magnetons follow the coordinates.
Positions (direct):
Tl1 0.957 0.957 0.915  0.00
Tl2 0.748 0.248 0.496  -0.05
Cr1 0.239 0.739 0.477  3.04
Al1 0.556 0.556 0.113  -0.02

=====

Entry from Alexandria: a relaxed Ca2ZnCl crystal (GGA-PBEsol).

Summary:
Uncorrected formation energy: -0.792 eV/atom

Cell: 3.531 3.761 8.207 Å, 103.25 102.42 90.00°
Positions (direct):
Ca1 0.053 0.053 0.105
Ca2 0.793 0.293 0.586
Zn1 0.199 0.699 0.398
Cl1 0.455 0.455 0.910

=====

Entry from Alexandria: a relaxed CoNiPS2 crystal (GGA-PBEsol).

Summary:
Uncorrected formation energy: 0.695 eV/atom

Cell: 4.074 4.407 4.407 Å, 90.00 90.00 90.00°
Site moments in Bohr magnetons follow the coordinates.
Positions (direct):
S1 0.000 0.500 0.000  0.07
S2 0.000 0.000 0.500  0.07
Co1 0.000 0.000 0.000  0.03
Ni1 0.500 0.500 0.500  0.58
P1 0.500 0.000 0.000  0.00

=====

Entry from Alexandria: a relaxed Cs2TeH2 crystal (GGA-PBEsol).

Cell: 3.650 8.553 8.553 Å, 90.00 90.00 90.00°
Positions (direct):
Cs1 0.500 0.348 0.152
Cs2 0.500 0.848 0.348
Cs3 0.500 0.152 0.652
Cs4 0.500 0.652 0.848
H1 0.000 0.346 0.846
H2 0.000 0.846 0.654
H3 0.000 0.654 0.154
H4 0.000 0.154 0.346
Te1 0.000 0.500 0.500
Te2 0.000 0.000 0.000

=====

Entry from Alexandria: a relaxed AlRu2W crystal (GGA-PBEsol).

Summary:
DFT formation energy: -0.193 eV per atom

Cell: 2.989 4.324 4.852 Å, 107.53 107.94 90.00°
Positions (direct):
Ru1 0.756 0.302 0.512
Ru2 0.993 0.946 0.987
Al1 0.255 0.799 0.509
W1 0.496 0.453 0.992

=====

Entry from Alexandria: a relaxed SrTa2Se crystal (GGA-PBEsol).

Summary:
Uncorrected formation energy: 0.610 eV/atom

Cell: 4.873 4.873 4.873 Å, 60.00 60.00 60.00°
Positions (direct):
Ta1 0.750 0.750 0.750
Ta2 0.000 0.000 0.000
Sr1 0.250 0.250 0.250
Se1 0.500 0.500 0.500

=====

Entry from Alexandria: a relaxed TaSiSn2H crystal (GGA-PBEsol).

Cell: 4.870 5.291 5.291 Å, 90.00 90.00 90.00°
Site moments in Bohr magnetons follow the coordinates.
Positions (direct):
Sn1 0.000 0.500 0.000  0.00
Sn2 0.000 0.000 0.500  0.00
Si1 0.500 0.000 0.000  0.01
Ta1 0.000 0.000 0.000  0.10
H1 0.500 0.500 0.500  0.31

=====

Entry from Alexandria: a relaxed La2TeBr crystal (GGA-PBEsol).

Summary:
Distance to the lowest polymorph of the same formula: 44 meV per atom
Uncorrected formation energy: -1.425 eV/atom

Cell: 5.368 5.368 5.368 Å, 60.00 60.00 60.00°
Positions (direct):
Te1 0.000 0.000 0.000
La1 0.750 0.750 0.750
La2 0.250 0.250 0.250
Br1 0.500 0.500 0.500

=====

| no. | calculated total energy (eV/atom) | spin magnetization (μB/atom) |
| --- | --- | --- |
| 1 | -2.6882 | 0.00 |
| 2 | -4.5536 | 0.37 |
| 3 | -6.0178 | 0.00 |
| 4 | -4.0159 | 0.00 |
| 5 | -8.0997 | 0.00 |
| 6 | -4.7037 | 0.00 |
| 7 | -4.2435 | 0.83 |
| 8 | -8.2923 | 1.81 |
| 9 | -9.0715 | 0.40 |
| 10 | -5.9397 | 0.00 |
| 11 | -8.2789 | 0.00 |
| 12 | -9.3609 | 0.00 |
| 13 | -4.4421 | 0.79 |
| 14 | -2.7565 | 0.00 |
| 15 | -4.9959 | 0.16 |
| 16 | -2.3666 | 0.00 |
| 17 | -9.7540 | 0.00 |
| 18 | -7.0881 | 0.00 |
| 19 | -5.1378 | 0.19 |
| 20 | -5.4470 | 0.00 |